No. 1
VASP calculation (PBE) on TcOsPd after structural relaxation.

Values from the calculation:
Density: 14730 kg/m3
Formation energy from the elements: 9.3 kJ/mol of atoms
Magnetization: 0.0 μB per formula unit
Total energy: -26.50 eV/f.u.
Polymorph energy (0 for the lowest one): 42 meV per atom

Cell: 2.769 2.769 6.125 Å, 103.06 103.06 90.00°
Element x y z (fractional)
1 Os 0.323 0.323 0.647
2 Tc 0.676 0.676 0.353
3 Pd 0.000 0.000 0.001

=====

No. 2
VASP calculation (PBE) on Nd8AuSe6 after structural relaxation.

Values from the calculation:
E_form (uncorrected): -1341 meV per atom
Density: 7119 kg/m3
Magnetization: 0.0 μB per formula unit
Total energy: -82.44 eV/f.u.

Cell: 4.240 10.766 10.766 Å, 120.00 90.00 90.00°
Element x y z (fractional)
1 Nd 0.750 0.965 0.278
2 Nd 0.750 0.722 0.687
3 Nd 0.750 0.313 0.035
4 Nd 0.250 0.035 0.722
5 Nd 0.250 0.278 0.313
6 Nd 0.250 0.687 0.965
7 Nd 0.750 0.333 0.667
8 Nd 0.250 0.667 0.333
9 Au 0.500 0.000 0.000
10 Se 0.749 0.645 0.128
11 Se 0.749 0.872 0.518
12 Se 0.749 0.482 0.355
13 Se 0.251 0.355 0.872
14 Se 0.251 0.128 0.482
15 Se 0.251 0.518 0.645

=====

No. 3
VASP calculation (PBE) on DyThSnTe after structural relaxation.

Values from the calculation:
E_form (uncorrected): -917 meV per atom
Density: 8525 kg/m3
Magnetization: 0.0 μB per formula unit
Total energy: -22.83 eV/f.u.

Cell: 4.484 4.484 7.621 Å, 72.89 72.89 60.00°
Element x y z (fractional)
1 Dy 0.440 0.440 0.679
2 Th 0.948 0.948 0.156
3 Sn 0.697 0.697 0.909
4 Te 0.191 0.191 0.428

=====

No. 4
VASP calculation (PBE) on In after structural relaxation.

Values from the calculation:
Density: 7002 kg/m3
Formation energy from the elements: 1.7 kJ/mol of atoms
Magnetization: 0.0 μB per formula unit
Total energy: -2.72 eV/f.u.
Polymorph energy (0 for the lowest one): 17 meV per atom

Cell: 3.316 3.316 5.719 Å, 90.00 90.00 120.00°
Element x y z (fractional)
1 In 0.000 0.000 0.000
2 In 0.667 0.333 0.500

=====

No. 5
VASP calculation (PBE) on Ce2Ga2Pt after structural relaxation.

Values from the calculation:
Density: 9066 kg/m3
Formation energy from the elements: -74.9 kJ/mol of atoms
Magnetization: 1.2 μB per formula unit
Total energy: -27.84 eV/f.u.

Cell: 4.463 5.699 9.890 Å, 87.63 76.96 66.95°
Element x y z (fractional)
1 Ce 0.684 0.299 0.332
2 Ce 0.930 0.257 0.882
3 Ce 0.316 0.701 0.668
4 Ce 0.070 0.743 0.118
5 Ga 0.089 0.267 0.554
6 Ga 0.636 0.840 0.889
7 Ga 0.911 0.733 0.446
8 Ga 0.364 0.160 0.111
9 Pt 0.603 0.125 0.668
10 Pt 0.397 0.875 0.332

=====

No. 6
VASP calculation (PBE) on NaInCu2 after structural relaxation.

Values from the calculation:
Density: 5492 kg/m3
Formation energy from the elements: 36.1 kJ/mol of atoms
Magnetization: 0.0 μB per formula unit
Total energy: -10.76 eV/f.u.

Cell: 7.505 7.505 6.021 Å, 51.44 51.44 90.00°
Element x y z (fractional)
1 Na 0.500 0.500 0.000
2 Na 0.250 0.750 0.500
3 Cu 0.647 0.125 0.250
4 Cu 0.103 0.625 0.250
5 Cu 0.375 0.353 0.750
6 Cu 0.875 0.897 0.750
7 In 0.000 0.000 0.000
8 In 0.750 0.250 0.500

=====

No. 7
VASP calculation (PBE) on LaOs2W after structural relaxation.

Values from the calculation:
Density: 13989 kg/m3
Formation energy from the elements: 68.2 kJ/mol of atoms
Magnetization: 0.0 μB per formula unit
Total energy: -37.51 eV/f.u.
Polymorph energy (0 for the lowest one): 570 meV per atom

Cell: 7.407 7.407 6.057 Å, 52.31 52.31 90.00°
Element x y z (fractional)
1 Os 0.676 0.125 0.250
2 Os 0.074 0.625 0.250
3 Os 0.375 0.324 0.750
4 Os 0.875 0.926 0.750
5 W 0.000 0.000 0.000
6 W 0.750 0.250 0.500
7 La 0.500 0.500 0.000
8 La 0.250 0.750 0.500

=====

No. 8
VASP calculation (PBE) on Sc4Tl2Hg3 after structural relaxation.

Values from the calculation:
Density: 9594 kg/m3
Formation energy from the elements: -25.7 kJ/mol of atoms
Magnetization: 0.0 μB per formula unit
Total energy: -33.36 eV/f.u.

Cell: 4.921 4.901 9.878 Å, 90.40 90.00 59.86°
Element x y z (fractional)
1 Sc 0.667 0.666 0.883
2 Sc 0.999 0.001 0.333
3 Sc 0.001 0.999 0.667
4 Sc 0.333 0.334 0.117
5 Tl 0.334 0.333 0.790
6 Tl 0.666 0.667 0.210
7 Hg 0.333 0.334 0.438
8 Hg 0.000 0.000 0.000
9 Hg 0.667 0.666 0.562

=====

No. 9
VASP calculation (PBE) on YFeTc2 after structural relaxation.

Values from the calculation:
Density: 6409 kg/m3
Formation energy from the elements: 71.1 kJ/mol of atoms
Magnetization: 1.3 μB per formula unit
Total energy: -32.71 eV/f.u.
Polymorph energy (0 for the lowest one): 592 meV per atom

Cell: 4.649 4.649 8.806 Å, 74.69 74.69 90.00°
Element x y z (fractional)
1 Y 0.000 0.000 0.000
2 Y 0.750 0.250 0.500
3 Tc 0.375 0.125 0.250
4 Tc 0.375 0.625 0.250
5 Tc 0.375 0.625 0.750
6 Tc 0.875 0.625 0.750
7 Fe 0.500 0.500 0.000
8 Fe 0.250 0.750 0.500

=====

No. 10
VASP calculation (PBE) on MgSi2Ru after structural relaxation.

Values from the calculation:
E_form (uncorrected): -38 meV per atom
Density: 5284 kg/m3
Magnetization: 0.0 μB per formula unit
Total energy: -21.87 eV/f.u.

Cell: 4.531 4.531 2.944 Å, 89.95 89.95 109.25°
Element x y z (fractional)
1 Mg 0.500 0.000 0.500
2 Ru 0.000 0.500 0.500
3 Si 0.000 0.000 0.000
4 Si 0.500 0.500 0.000

=====

No. 11
VASP calculation (PBE) on DySi2Se4 after structural relaxation.

Values from the calculation:
E_form (uncorrected): -372 meV per atom
Density: 4711 kg/m3
Magnetization: 0.0 μB per formula unit
Total energy: -31.99 eV/f.u.

Cell: 6.277 6.277 6.277 Å, 106.20 106.20 116.24°
Element x y z (fractional)
1 Dy 0.500 0.500 0.000
2 Si 0.250 0.750 0.500
3 Si 0.750 0.250 0.500
4 Se 0.315 0.172 0.487
5 Se 0.828 0.315 0.144
6 Se 0.172 0.685 0.856
7 Se 0.685 0.828 0.513

=====

No. 12
VASP calculation (PBE) on MnIrPb2 after structural relaxation.

Values from the calculation:
Density: 13247 kg/m3
Formation energy from the elements: 48.4 kJ/mol of atoms
Magnetization: 4.1 μB per formula unit
Total energy: -23.44 eV/f.u.
Polymorph energy (0 for the lowest one): 330 meV per atom

Cell: 3.379 3.405 7.964 Å, 64.84 90.00 90.00°
Element x y z (fractional)
1 Ir 0.500 0.250 0.250
2 Mn 0.500 0.750 0.750
3 Pb 0.000 0.985 0.014
4 Pb 0.000 0.515 0.486

=====

No. 13
VASP calculation (PBE) on Sr2Li15Tl2 after structural relaxation.

Values from the calculation:
Density: 2587 kg/m3
Formation energy from the elements: -6.4 kJ/mol of atoms
Magnetization: 0.0 μB per formula unit
Total energy: -38.07 eV/f.u.

Cell: 7.661 7.661 7.661 Å, 83.55 83.55 83.55°
Element x y z (fractional)
1 Sr 0.349 0.349 0.349
2 Sr 0.651 0.651 0.651
3 Li 0.500 0.000 0.000
4 Li 0.000 0.000 0.500
5 Li 0.000 0.500 0.000
6 Li 0.000 0.730 0.270
7 Li 0.730 0.270 0.000
8 Li 0.270 0.000 0.730
9 Li 0.270 0.730 0.000
10 Li 0.730 0.000 0.270
11 Li 0.000 0.270 0.730
12 Li 0.130 0.653 0.653
13 Li 0.653 0.653 0.130
14 Li 0.653 0.130 0.653
15 Li 0.870 0.347 0.347
16 Li 0.347 0.347 0.870
17 Li 0.347 0.870 0.347
18 Tl 0.112 0.112 0.112
19 Tl 0.888 0.888 0.888

=====

No. 14
VASP calculation (PBE) on Cd3As5S12 after structural relaxation.

Values from the calculation:
E_form (uncorrected): -11 meV per atom
Density: 3944 kg/m3
Magnetization: 0.0 μB per formula unit
Total energy: -75.75 eV/f.u.

Cell: 13.387 13.387 13.387 Å, 109.47 109.47 109.47°
Element x y z (fractional)
1 Cd 0.750 0.375 0.125
2 Cd 0.875 0.750 0.125
3 Cd 0.375 0.750 0.625
4 Cd 0.250 0.125 0.375
5 Cd 0.875 0.125 0.250
6 Cd 0.375 0.625 0.250
7 Cd 0.625 0.375 0.750
8 Cd 0.125 0.875 0.750
9 Cd 0.750 0.875 0.625
10 Cd 0.625 0.250 0.375
11 Cd 0.125 0.250 0.875
12 Cd 0.250 0.625 0.875
13 As 0.125 0.375 0.250
14 As 0.000 0.500 0.000
15 As 0.000 0.000 0.000
16 As 0.375 0.250 0.125
17 As 0.500 0.000 0.500
18 As 0.500 0.500 0.000
19 As 0.125 0.750 0.375
20 As 0.750 0.125 0.875
21 As 0.750 0.625 0.375
22 As 0.375 0.125 0.750
23 As 0.625 0.875 0.250
24 As 0.500 0.500 0.500
25 As 0.500 0.000 0.000
26 As 0.000 0.000 0.500
27 As 0.250 0.375 0.625
28 As 0.250 0.875 0.125
29 As 0.000 0.500 0.500
30 As 0.875 0.250 0.625
31 As 0.625 0.750 0.875
32 As 0.875 0.625 0.750
33 S 0.709 0.131 0.033
34 S 0.324 0.533 0.402
35 S 0.967 0.369 0.291
36 S 0.533 0.209 0.131
37 S 0.578 0.709 0.676
38 S 0.967 0.598 0.176
39 S 0.324 0.791 0.422
40 S 0.098 0.922 0.131
41 S 0.598 0.967 0.676
42 S 0.709 0.578 0.176
43 S 0.791 0.467 0.369
44 S 0.824 0.902 0.033
45 S 0.131 0.709 0.533
46 S 0.369 0.402 0.078
47 S 0.078 0.902 0.369
48 S 0.422 0.131 0.598
49 S 0.078 0.176 0.209
50 S 0.467 0.676 0.098
51 S 0.824 0.922 0.291
52 S 0.131 0.422 0.098
53 S 0.369 0.967 0.791
54 S 0.598 0.631 0.422
55 S 0.902 0.824 0.533
56 S 0.791 0.324 0.922
57 S 0.402 0.369 0.578
58 S 0.098 0.176 0.467
59 S 0.209 0.676 0.078
60 S 0.176 0.078 0.709
61 S 0.631 0.033 0.209
62 S 0.869 0.578 0.902
63 S 0.533 0.324 0.902
64 S 0.578 0.869 0.402
65 S 0.922 0.824 0.791
66 S 0.922 0.098 0.631
67 S 0.869 0.291 0.467
68 S 0.176 0.098 0.967
69 S 0.631 0.598 0.922
70 S 0.402 0.033 0.324
71 S 0.291 0.422 0.824
72 S 0.209 0.533 0.631
73 S 0.902 0.078 0.869
74 S 0.676 0.209 0.578
75 S 0.467 0.791 0.869
76 S 0.033 0.402 0.824
77 S 0.422 0.291 0.324
78 S 0.033 0.631 0.709
79 S 0.676 0.467 0.598
80 S 0.291 0.869 0.967

=====

No. 15
VASP calculation (PBE) on ScURu4 after structural relaxation.

Values from the calculation:
Density: 11148 kg/m3
Formation energy from the elements: -17.8 kJ/mol of atoms
Magnetization: 1.7 μB per formula unit
Total energy: -55.83 eV/f.u.
Polymorph energy (0 for the lowest one): 0 meV per atom

Cell: 5.251 5.251 5.251 Å, 60.00 60.00 60.00°
Element x y z (fractional)
1 Sc 0.000 0.000 0.000
2 Ru 0.625 0.625 0.124
3 Ru 0.625 0.124 0.625
4 Ru 0.625 0.625 0.625
5 Ru 0.124 0.625 0.625
6 U 0.250 0.250 0.250

=====

No. 16
VASP calculation (PBE) on Cs2PPbS4 after structural relaxation.

Values from the calculation:
E_form (uncorrected): -607 meV per atom
Density: 3460 kg/m3
Magnetization: 1.0 μB per formula unit
Total energy: -32.19 eV/f.u.

Cell: 7.300 7.569 13.057 Å, 82.25 73.77 61.17°
Element x y z (fractional)
1 Cs 0.180 0.000 0.640
2 Cs 0.820 0.000 0.360
3 Cs 0.570 0.500 0.860
4 Cs 0.930 0.500 0.140
5 P 0.250 0.500 0.500
6 P 0.500 0.000 0.000
7 Pb 0.750 0.500 0.500
8 Pb 0.000 0.000 0.000
9 S 0.380 0.820 0.094
10 S 0.294 0.180 0.906
11 S 0.800 0.820 0.906
12 S 0.525 0.180 0.094
13 S 0.370 0.680 0.406
14 S 0.456 0.320 0.594
15 S 0.950 0.680 0.594
16 S 0.225 0.320 0.406

=====

No. 17
VASP calculation (PBE) on Hf2TiMnH after structural relaxation.

Values from the calculation:
Density: 10526 kg/m3
Magnetization: 1.4 μB per formula unit
Total energy: -40.62 eV/f.u.

Cell: 4.628 4.628 3.394 Å, 90.00 90.00 90.00°
Element x y z (fractional)
1 H 0.000 0.000 0.000
2 Mn 0.000 0.000 0.500
3 Hf 0.000 0.500 0.000
4 Hf 0.500 0.000 0.000
5 Ti 0.500 0.500 0.500

=====

No. 18
VASP calculation (PBE) on HfCrPb2 after structural relaxation.

Values from the calculation:
Density: 11246 kg/m3
Formation energy from the elements: 52.3 kJ/mol of atoms
Magnetization: 2.7 μB per formula unit
Total energy: -24.82 eV/f.u.
Polymorph energy (0 for the lowest one): 0 meV per atom

Cell: 7.858 7.858 6.355 Å, 51.81 51.81 90.00°
Element x y z (fractional)
1 Pb 0.603 0.125 0.250
2 Pb 0.147 0.625 0.250
3 Pb 0.375 0.397 0.750
4 Pb 0.875 0.853 0.750
5 Cr 0.500 0.500 0.000
6 Cr 0.250 0.750 0.500
7 Hf 0.000 0.000 0.000
8 Hf 0.750 0.250 0.500

=====

No. 19
VASP calculation (PBE) on ZrInI2 after structural relaxation.

Values from the calculation:
E_form (uncorrected): -169 meV per atom
Density: 4720 kg/m3
Magnetization: 1.3 μB per formula unit
Total energy: -15.06 eV/f.u.
Polymorph energy (0 for the lowest one): 0 meV per atom

Cell: 10.320 10.320 7.904 Å, 49.25 49.25 90.00°
Element x y z (fractional)
1 I 0.483 0.125 0.250
2 I 0.267 0.625 0.250
3 I 0.375 0.517 0.750
4 I 0.875 0.733 0.750
5 Zr 0.500 0.500 0.000
6 Zr 0.250 0.750 0.500
7 In 0.000 0.000 0.000
8 In 0.750 0.250 0.500

=====

No. 20
VASP calculation (PBE) on Ba2Li2TbSe4 after structural relaxation.

Values from the calculation:
E_form (uncorrected): -1647 meV per atom
Density: 5335 kg/m3
Magnetization: 0.0 μB per formula unit
Total energy: -41.07 eV/f.u.

Cell: 4.252 7.654 8.069 Å, 109.56 105.28 90.00°
Element x y z (fractional)
1 Ba 0.133 0.558 0.267
2 Ba 0.867 0.442 0.733
3 Li 0.680 0.993 0.360
4 Li 0.320 0.007 0.640
5 Tb 0.000 0.000 0.000
6 Se 0.203 0.191 0.406
7 Se 0.797 0.809 0.594
8 Se 0.518 0.752 0.035
9 Se 0.482 0.248 0.965

=====

No. 21
VASP calculation (PBE) on RbLiIrBr6 after structural relaxation.

Values from the calculation:
E_form (uncorrected): -823 meV per atom
Density: 4057 kg/m3
Magnetization: 1.1 μB per formula unit
Total energy: -29.18 eV/f.u.

Cell: 6.831 6.831 7.739 Å, 90.00 90.00 60.00°
Element x y z (fractional)
1 Rb 0.000 0.000 0.000
2 Li 0.667 0.667 0.500
3 Ir 0.333 0.333 0.500
4 Br 0.024 0.354 0.314
5 Br 0.354 0.024 0.686
6 Br 0.622 0.354 0.686
7 Br 0.024 0.622 0.686
8 Br 0.354 0.622 0.314
9 Br 0.622 0.024 0.314